The following is a DFT calculation (PBE) of a relaxed structure of K4Zr3Te17.

Cell: 10.3975 31.4388 11.9451 Å, 90.00 115.59 90.00°
Closest atoms and distances in Å follow each position.
Space group P2_1/c (No. 14)
One atom of each set of equivalent atoms:
K (0.2048, 0.2279, 0.4575)  6 Te 3.55-3.81
K (0.2418, 0.5186, 0.5421)  7 Te 3.58-3.85
K (0.2637, 0.7064, 0.5358)  7 Te 3.57-3.98
K (0.2755, 0.0629, 0.5214)  7 Te 3.58-3.87
Zr (0.0515, 0.6192, 0.8351)  8 Te 2.95-3.07
Zr (0.2833, 0.1188, 0.9955)  8 Te 2.96-3.06
Zr (0.3842, 0.6206, 0.1738)  9 Te 3.00-3.11
Te (0.0269, 0.6063, 0.5754)  1 Te 2.87, 2 Zr 2.99-3.03
Te (0.0979, 0.7088, 0.7892)  3 Te 2.94-3.20, 1 Zr 2.95
Te (0.0997, 0.5285, 0.7873)  2 Te 2.95-3.25, 1 Zr 2.99
Te (0.1161, 0.5629, 0.0501)  1 Te 2.86, 2 Zr 2.95-3.11
Te (0.1186, 0.1750, 0.0894)  2 Te 2.87-3.06, 1 Zr 2.99
Te (0.1220, 0.6780, 0.0477)  2 Te 2.93-3.14, 2 Zr 2.97-3.07
Te (0.1325, 0.6200, 0.2428)  2 Te 2.86-2.93, 1 Zr 3.07
Te (0.1921, 0.1784, 0.7720)  1 Te 2.94, 2 Zr 2.95-3.06
Te (0.1961, 0.0562, 0.7844)  2 Te 2.95-3.11, 2 Zr 3.01-3.07
Te (0.2955, 0.1005, 0.2432)  2 Te 2.91-3.06, 2 Zr 2.96-3.10
Te (0.3707, 0.6166, 0.9128)  1 Te 2.81, 2 Zr 3.04-3.06
Te (0.4320, 0.7002, 0.8670)  1 Te 2.81
Te (0.4778, 0.5575, 0.3894)  2 Zr 2.97-3.06, 2 Te 2.99-3.05
Te (0.4848, 0.1045, 0.8811)  2 Te 2.99-3.11, 1 Zr 2.99
Te (0.4889, 0.2066, 0.3432)  2 Te 2.88-3.20, 1 Zr 3.06
Te (0.4916, 0.6838, 0.3820)  1 Te 2.88, 2 Zr 2.97-3.00
Te (0.4964, 0.5325, 0.1504)  2 Te 2.91-3.05, 1 Zr 3.06

Computed properties:
Magnetization, μB/f.u.: 0.0
Volume, Å³/cell: 3522
Formation energy without anion corrections, kJ/mol of atoms: -66.0
E_tot, eV/atom: -4.16